Th2Si3Ru2 | Alexandria via LeMat-Bulk | GGA-PBE | optimized geometry; VASP energy = -7.748 eV/atom; uncorrected formation energy = -654 meV/atom
1.0
-3.404 -2.209 -0.431
2.468 -1.005 4.977
-3.749 5.852 -0.380
Th Si Ru
2 3 2
Direct
0.862 0.724 0.235
0.138 0.276 0.765
0.500 0.000 0.000
0.641 0.281 0.427
0.359 0.719 0.573
0.861 0.721 0.788
0.139 0.279 0.212